(1)
Material: HgAuF4
Method: DFT, PBE
State: relaxed

Values from the calculation:
**VASP energy**: -2.937 eV per atom
**Total magnetic moment**: 1.00 μB/f.u.
**Space group**: C2/m (12)
**ΔE_f (raw)**: -1.092 eV per atom

Cell lengths 4.329, 4.329, 6.463 Å; angles 112.74, 112.74, 66.10 degrees
Element x y z (fractional)
Hg (0.000, 0.000, 0.000)
Au (0.500, 0.500, 0.500)
F (0.161, 0.161, 0.375)
F (0.390, 0.390, 0.136)
F (0.610, 0.610, 0.864)
F (0.839, 0.839, 0.625)

(2)
Material: Hg3AuF
Method: DFT, PBE
State: relaxed

Values from the calculation:
**VASP energy**: -1.155 eV per atom
**Total magnetic moment**: 0.00 μB/f.u.
**Space group**: Pm-3m (221)
**ΔE_f (raw)**: 0.056 eV per atom

Cell lengths 4.941, 4.941, 4.941 Å; angles 90.00, 90.00, 90.00 degrees
Element x y z (fractional)
Hg (0.000, 0.000, 0.500)
Hg (0.000, 0.500, 0.000)
Hg (0.500, 0.000, 0.000)
Au (0.500, 0.500, 0.500)
F (0.000, 0.000, 0.000)

(3)
Material: HgAuF2
Method: DFT, PBE
State: relaxed

Values from the calculation:
**VASP energy**: -2.653 eV per atom
**Total magnetic moment**: 0.00 μB/f.u.
**Space group**: R-3m (166)
**ΔE_f (raw)**: -0.823 eV per atom

Cell lengths 8.268, 8.268, 8.268 Å; angles 21.64, 21.64, 21.64 degrees
Element x y z (fractional)
Hg (0.000, 0.000, 0.000)
Au (0.500, 0.500, 0.500)
F (0.415, 0.415, 0.415)
F (0.585, 0.585, 0.585)

(4)
Material: Hg3AuF
Method: DFT, PBE
State: relaxed

Values from the calculation:
**VASP energy**: -1.435 eV per atom
**Total magnetic moment**: 0.00 μB/f.u.
**Space group**: Pm-3m (221)
**ΔE_f (raw)**: -0.224 eV per atom

Cell lengths 5.359, 5.359, 5.359 Å; angles 90.00, 90.00, 90.00 degrees
Element x y z (fractional)
Hg (0.000, 0.000, 0.500)
Hg (0.000, 0.500, 0.000)
Hg (0.500, 0.000, 0.000)
Au (0.000, 0.000, 0.000)
F (0.500, 0.500, 0.500)

(5)
Material: HgAuF5
Method: DFT, PBE
State: relaxed

Values from the calculation:
**VASP energy**: -3.034 eV per atom
**Total magnetic moment**: 0.00 μB/f.u.
**Space group**: P-1 (2)
**ΔE_f (raw)**: -1.186 eV per atom

Cell lengths 5.375, 5.445, 8.174 Å; angles 93.06, 93.86, 100.58 degrees
Element x y z (fractional)
Hg (0.000, 0.000, 0.000)
Hg (0.000, 0.000, 0.500)
Au (0.410, 0.588, 0.250)
Au (0.590, 0.412, 0.750)
F (0.090, 0.912, 0.749)
F (0.101, 0.629, 0.121)
F (0.278, 0.427, 0.611)
F (0.377, 0.892, 0.378)
F (0.419, 0.281, 0.111)
F (0.581, 0.719, 0.889)
F (0.623, 0.108, 0.622)
F (0.722, 0.573, 0.389)
F (0.899, 0.371, 0.879)
F (0.910, 0.088, 0.251)

(6)
Material: HgAuF3
Method: DFT, PBE
State: relaxed

Values from the calculation:
**VASP energy**: -2.597 eV per atom
**Total magnetic moment**: 0.00 μB/f.u.
**Space group**: Pm-3m (221)
**ΔE_f (raw)**: -0.758 eV per atom

Cell lengths 4.419, 4.419, 4.419 Å; angles 90.00, 90.00, 90.00 degrees
Element x y z (fractional)
Hg (0.000, 0.000, 0.000)
Au (0.500, 0.500, 0.500)
F (0.000, 0.500, 0.500)
F (0.500, 0.000, 0.500)
F (0.500, 0.500, 0.000)

(7)
Material: Hg2Au2F7
Method: DFT, PBE
State: relaxed

Values from the calculation:
**VASP energy**: -2.869 eV per atom
**Total magnetic moment**: 0.00 μB/f.u.
**Space group**: C2/m (12)
**ΔE_f (raw)**: -1.028 eV per atom

Cell lengths 5.544, 5.544, 6.551 Å; angles 95.32, 95.32, 101.70 degrees
Element x y z (fractional)
Hg (0.229, 0.771, 0.000)
Hg (0.771, 0.229, 0.000)
Au (0.191, 0.191, 0.509)
Au (0.809, 0.809, 0.491)
F (0.078, 0.409, 0.797)
F (0.146, 0.146, 0.187)
F (0.409, 0.078, 0.797)
F (0.500, 0.500, 0.500)
F (0.591, 0.922, 0.203)
F (0.854, 0.854, 0.813)
F (0.922, 0.591, 0.203)

(8)
Material: HgAuF2
Method: DFT, PBE
State: relaxed

Values from the calculation:
**VASP energy**: -2.458 eV per atom
**Total magnetic moment**: 0.00 μB/f.u.
**Space group**: Fm-3m (225)
**ΔE_f (raw)**: -0.628 eV per atom

Cell lengths 4.406, 4.406, 4.406 Å; angles 60.00, 60.00, 60.00 degrees
Element x y z (fractional)
Hg (0.000, 0.000, 0.000)
Au (0.500, 0.500, 0.500)
F (0.250, 0.250, 0.250)
F (0.750, 0.750, 0.750)

(9)
Material: Hg2AuF2
Method: DFT, PBE
State: relaxed

Values from the calculation:
**VASP energy**: -2.115 eV per atom
**Total magnetic moment**: 0.00 μB/f.u.
**Space group**: P4/mbm (127)
**ΔE_f (raw)**: -0.590 eV per atom

Cell lengths 7.443, 7.443, 2.978 Å; angles 90.00, 90.00, 90.00 degrees
Element x y z (fractional)
Hg (0.176, 0.324, 0.000)
Hg (0.324, 0.824, 0.000)
Hg (0.676, 0.176, 0.000)
Hg (0.824, 0.676, 0.000)
Au (0.000, 0.000, 0.500)
Au (0.500, 0.500, 0.500)
F (0.121, 0.621, 0.500)
F (0.379, 0.121, 0.500)
F (0.621, 0.879, 0.500)
F (0.879, 0.379, 0.500)

(10)
Material: HgAuF3
Method: DFT, PBE
State: relaxed

Values from the calculation:
**VASP energy**: -2.553 eV per atom
**Total magnetic moment**: 0.00 μB/f.u.
**Space group**: Pm-3m (221)
**ΔE_f (raw)**: -0.715 eV per atom

Cell lengths 4.516, 4.516, 4.516 Å; angles 90.00, 90.00, 90.00 degrees
Element x y z (fractional)
Hg (0.000, 0.000, 0.000)
Au (0.500, 0.500, 0.500)
F (0.000, 0.000, 0.500)
F (0.000, 0.500, 0.000)
F (0.500, 0.000, 0.000)

(11)
Material: HgAu2F11
Method: DFT, PBE
State: relaxed

Values from the calculation:
**VASP energy**: -2.894 eV per atom
**Total magnetic moment**: 0.73 μB/f.u.
**Space group**: Ibam (72)
**ΔE_f (raw)**: -0.934 eV per atom

Cell lengths 8.286, 8.286, 8.286 Å; angles 113.42, 113.19, 102.05 degrees
Element x y z (fractional)
Hg (0.250, 0.250, 0.000)
Hg (0.750, 0.750, 0.000)
Au (0.165, 0.665, 0.831)
Au (0.335, 0.165, 0.500)
Au (0.665, 0.835, 0.500)
Au (0.835, 0.335, 0.169)
F (0.000, 0.500, 0.500)
F (0.077, 0.361, 0.166)
F (0.090, 0.923, 0.283)
F (0.139, 0.423, 0.833)
F (0.183, 0.317, 0.500)
F (0.194, 0.910, 0.834)
F (0.306, 0.139, 0.716)
F (0.317, 0.817, 0.134)
F (0.361, 0.194, 0.283)
F (0.410, 0.694, 0.833)
F (0.423, 0.590, 0.284)
F (0.500, 0.000, 0.500)
F (0.577, 0.410, 0.716)
F (0.590, 0.306, 0.167)
F (0.639, 0.806, 0.717)
F (0.683, 0.183, 0.866)
F (0.694, 0.861, 0.284)
F (0.806, 0.090, 0.166)
F (0.817, 0.683, 0.500)
F (0.861, 0.577, 0.167)
F (0.910, 0.077, 0.717)
F (0.923, 0.639, 0.834)

(12)
Material: HgAuF4
Method: DFT, PBE
State: relaxed

Values from the calculation:
**VASP energy**: -2.969 eV per atom
**Total magnetic moment**: 1.00 μB/f.u.
**Space group**: I4/mcm (140)
**ΔE_f (raw)**: -1.125 eV per atom

Cell lengths 6.932, 6.932, 6.932 Å; angles 131.20, 131.20, 71.49 degrees
Element x y z (fractional)
Hg (0.250, 0.250, 0.000)
Hg (0.750, 0.750, 0.000)
Au (0.000, 0.500, 0.500)
Au (0.500, 0.000, 0.500)
F (0.050, 0.550, 0.871)
F (0.179, 0.050, 0.500)
F (0.321, 0.821, 0.871)
F (0.450, 0.321, 0.500)
F (0.550, 0.679, 0.500)
F (0.679, 0.179, 0.129)
F (0.821, 0.950, 0.500)
F (0.950, 0.450, 0.129)